# 1
DFT (PBE) results for an optimized crystal structure of YAu2Cl.

Values from the calculation:
- M_tot: 0.00 μB per cell
- Formation energy from raw total energies: -298 kJ/mol of formula units

CIF file:
```
data_YAu2Cl
_chemical_formula_sum 'Y2 Au4 Cl2'
_space_group_name_H-M_alt 'I m m 2'
_space_group_IT_number 44
_cell_length_a 4.928
_cell_length_b 4.931
_cell_length_c 6.987
_cell_angle_alpha 90.00
_cell_angle_beta 90.00
_cell_angle_gamma 90.00
loop_
_space_group_symop_operation_xyz
'x,y,z'
'-x,-y,z'
'-x,y,z'
'x,-y,z'
'x+1/2,y+1/2,z+1/2'
'-x+1/2,-y+1/2,z+1/2'
'-x+1/2,y+1/2,z+1/2'
'x+1/2,-y+1/2,z+1/2'
loop_
_atom_site_label
_atom_site_type_symbol
_atom_site_fract_x
_atom_site_fract_y
_atom_site_fract_z
Y1 Y 0.000 0.000 0.000
Au1 Au 0.000 0.000 0.501
Au2 Au 0.000 0.500 0.751
Cl1 Cl 0.000 0.500 0.251
```

***

# 2
DFT (PBE) results for an optimized crystal structure of AcHo2TeO8.

Values from the calculation:
- M_tot: 0.96 μB per cell
- Formation energy from raw total energies: -2900 kJ/mol of formula units

CIF file:
```
data_AcHo2TeO8
_chemical_formula_sum 'Ac2 Ho4 Te2 O16'
_space_group_name_H-M_alt 'C m m m'
_space_group_IT_number 65
_space_group_name_Hall '-C 2 2'
_cell_length_a 7.064
_cell_length_b 7.114
_cell_length_c 7.231
_cell_angle_alpha 90.00
_cell_angle_beta 90.00
_cell_angle_gamma 90.00
loop_
_atom_site_label
_atom_site_type_symbol
_atom_site_fract_x
_atom_site_fract_y
_atom_site_fract_z
Ac1 Ac 0.000 0.000 0.000
Ho1 Ho 0.000 0.500 0.268
Te1 Te 0.000 0.000 0.500
O1 O 0.000 0.186 0.301
O2 O 0.168 0.500 0.000
O3 O 0.222 0.500 0.500
```

***

# 3
DFT (PBE) results for an optimized crystal structure of SmEr2Th6.

Values from the calculation:
- M_tot: 0.00 μB per cell
- E_tot: -6.44 eV per atom

CIF file:
```
data_SmEr2Th6
_chemical_formula_sum 'Sm1 Er2 Th6'
_space_group_name_H-M_alt 'P -1'
_space_group_IT_number 2
_cell_length_a 6.169
_cell_length_b 6.175
_cell_length_c 7.976
_cell_angle_alpha 82.51
_cell_angle_beta 75.10
_cell_angle_gamma 80.35
loop_
_space_group_symop_operation_xyz
'x,y,z'
'-x,-y,-z'
loop_
_atom_site_label
_atom_site_type_symbol
_atom_site_fract_x
_atom_site_fract_y
_atom_site_fract_z
Sm1 Sm 0.000 0.000 0.000
Er1 Er 0.443 0.889 0.225
Th1 Th 0.112 0.221 0.554
Th2 Th 0.224 0.447 0.112
Th3 Th 0.334 0.663 0.663
```